[1]
VASP calculation (PBE) on an optimized crystal structure of Pm6CS2Cl3.

Computed properties:
Formation energy (no corrections), eV per atom: -1.490
Magnetic moment, μB/atom: 0.00
Total energy, eV per atom: -5.783
Space-group type: C2/m, No. 12

Lattice parameters (Å, degrees): 9.1487 9.1487 8.2629 105.46 105.46 24.98
With the nearest neighbours (Å) after each atom.
Fractional positions:
Pm (0.0047, 0.0047, 0.2074)  2 C 2.60, 1 S 2.77
Pm (0.3257, 0.3257, 0.4401)  3 S 2.73-2.76, 3 Cl 3.02-3.04
Pm (0.3547, 0.3547, 0.9111)  1 C 2.50, 2 S 2.75
Pm (0.6453, 0.6453, 0.0889)  1 C 2.50, 2 S 2.75
Pm (0.6743, 0.6743, 0.5599)  3 S 2.73-2.76, 3 Cl 3.02-3.04
Pm (0.9953, 0.9953, 0.7926)  2 C 2.60, 1 S 2.77
C (0.5000, 0.5000, 0.0000)  6 Pm 2.50-2.60
S (0.1653, 0.1653, 0.3272)  6 Pm 2.73-2.77
S (0.8347, 0.8347, 0.6728)  6 Pm 2.73-2.77
Cl (0.1667, 0.1667, 0.8349)  6 Pm 2.98-3.24
Cl (0.5000, 0.5000, 0.5000)  6 Pm 3.02-3.14
Cl (0.8333, 0.8333, 0.1651)  6 Pm 2.98-3.24

---

[2]
VASP calculation (PBE) on an optimized crystal structure of Pm2ScC2Cl2.

Computed properties:
Formation energy (no corrections), eV per atom: -0.922
Magnetic moment, μB/atom: 0.00
Total energy, eV per atom: -6.346
Space-group type: I4/mmm, No. 139

Lattice parameters (Å, degrees): 4.3058 4.3058 14.8369 90.00 90.00 90.00
With the nearest neighbours (Å) after each atom.
Fractional positions:
Pm (0.0000, 0.0000, 0.1061)  4 C 2.67
Pm (0.0000, 0.0000, 0.8939)  4 C 2.67
Pm (0.5000, 0.5000, 0.3939)  4 C 2.67
Pm (0.5000, 0.5000, 0.6061)  4 C 2.67
Sc (0.0000, 0.0000, 0.5000)  4 C 2.15
Sc (0.5000, 0.5000, 0.0000)  4 C 2.15
C (0.0000, 0.5000, 0.0000)  2 Sc 2.15
C (0.0000, 0.5000, 0.5000)  2 Sc 2.15
C (0.5000, 0.0000, 0.0000)  2 Sc 2.15
C (0.5000, 0.0000, 0.5000)  2 Sc 2.15
Cl (0.0000, 0.0000, 0.3109)  1 Sc 2.81, 1 Pm 3.04
Cl (0.0000, 0.0000, 0.6891)  1 Sc 2.81, 1 Pm 3.04
Cl (0.5000, 0.5000, 0.1891)  1 Sc 2.81, 1 Pm 3.04
Cl (0.5000, 0.5000, 0.8109)  1 Sc 2.81, 1 Pm 3.04

---

[3]
VASP calculation (PBE) on an optimized crystal structure of Pm4CSe2Cl.

Computed properties:
Formation energy (no corrections), eV per atom: -1.376
Magnetic moment, μB/atom: 0.00
Total energy, eV per atom: -6.006
Space-group type: P2/m, No. 10

Lattice parameters (Å, degrees): 7.0564 3.9698 7.1482 90.00 108.21 90.00
With the nearest neighbours (Å) after each atom.
Fractional positions:
Pm (0.2110, 0.0000, 0.2094)  2 C 2.65, 1 Se 2.88, 1 Cl 2.91
Pm (0.2267, 0.5000, 0.7790)  1 C 2.58, 2 Se 2.87
Pm (0.7733, 0.5000, 0.2210)  1 C 2.58, 2 Se 2.87
Pm (0.7890, 0.0000, 0.7906)  2 C 2.65, 1 Se 2.88, 1 Cl 2.91
C (0.0000, 0.5000, 0.0000)  6 Pm 2.58-2.65
Se (0.5000, 0.0000, 0.0000)  6 Pm 2.87-2.88
Se (0.5000, 0.5000, 0.5000)  6 Pm 3.13-3.18
Cl (0.0000, 0.0000, 0.5000)  6 Pm 2.91

---

[4]
VASP calculation (PBE) on an optimized crystal structure of Pm3CSeCl.

Computed properties:
Formation energy (no corrections), eV per atom: -1.105
Magnetic moment, μB/atom: 0.13
Total energy, eV per atom: -5.906
Space-group type: P2_1/m, No. 11

Lattice parameters (Å, degrees): 8.0824 3.9291 10.4198 90.00 94.02 90.00
With the nearest neighbours (Å) after each atom.
Fractional positions:
Pm (0.0953, 0.2500, 0.3829)  3 C 2.61-2.69
Pm (0.1315, 0.2500, 0.8650)  1 C 2.41
Pm (0.3529, 0.7500, 0.6289)  2 C 2.65, 1 Cl 2.85
Pm (0.6471, 0.2500, 0.3711)  2 C 2.65, 1 Cl 2.85
Pm (0.8685, 0.7500, 0.1350)  1 C 2.41
Pm (0.9047, 0.7500, 0.6171)  3 C 2.61-2.69
C (0.1332, 0.2500, 0.6340)  6 Pm 2.41-2.69
C (0.8668, 0.7500, 0.3660)  6 Pm 2.41-2.69
Se (0.3646, 0.7500, 0.3447)  5 Pm 2.97-3.01
Se (0.6354, 0.2500, 0.6553)  5 Pm 2.97-3.01
Cl (0.3747, 0.7500, 0.9030)  3 Pm 2.79-2.85
Cl (0.6253, 0.2500, 0.0970)  3 Pm 2.79-2.85

---

[5]
VASP calculation (PBE) on an optimized crystal structure of Pm6SiC2Cl3.

Computed properties:
Formation energy (no corrections), eV per atom: -1.062
Magnetic moment, μB/atom: 0.00
Total energy, eV per atom: -5.888
Space-group type: C2/m, No. 12

Lattice parameters (Å, degrees): 9.2687 9.2687 8.4133 107.53 107.53 24.16
With the nearest neighbours (Å) after each atom.
Fractional positions:
Pm (0.0235, 0.0235, 0.2547)  1 C 2.53, 2 Si 2.82
Pm (0.3186, 0.3186, 0.4447)  3 C 2.56-2.62
Pm (0.3330, 0.3330, 0.8632)  2 C 2.57
Pm (0.6670, 0.6670, 0.1368)  2 C 2.57
Pm (0.6814, 0.6814, 0.5553)  3 C 2.56-2.62
Pm (0.9765, 0.9765, 0.7453)  1 C 2.53, 2 Si 2.82
Si (0.5000, 0.5000, 0.0000)  6 Pm 2.82-2.89
C (0.1704, 0.1704, 0.3392)  6 Pm 2.53-2.62
C (0.8296, 0.8296, 0.6608)  6 Pm 2.53-2.62
Cl (0.1655, 0.1655, 0.8307)  6 Pm 2.96-3.28
Cl (0.5000, 0.5000, 0.5000)  6 Pm 2.96-3.18
Cl (0.8345, 0.8345, 0.1693)  6 Pm 2.96-3.28

---

[6]
VASP calculation (PBE) on an optimized crystal structure of TbPmCCl.

Computed properties:
Formation energy (no corrections), eV per atom: -1.062
Magnetic moment, μB/atom: 0.00
Total energy, eV per atom: -6.175
Space-group type: R3m, No. 160

Lattice parameters (Å, degrees): 3.6865 3.6865 21.1562 90.00 90.00 120.00
With the nearest neighbours (Å) after each atom.
Fractional positions:
Tb (0.0000, 0.0000, 0.0000)  3 C 2.47
Tb (0.3333, 0.6667, 0.6667)  3 C 2.47
Tb (0.6667, 0.3333, 0.3333)  3 C 2.47
Pm (0.0000, 0.0000, 0.2072)  3 C 2.56
Pm (0.3333, 0.6667, 0.8738)  3 C 2.56
Pm (0.6667, 0.3333, 0.5405)  3 C 2.56
C (0.0000, 0.0000, 0.6077)  3 Tb 2.47, 3 Pm 2.56
C (0.3333, 0.6667, 0.2744)  3 Tb 2.47, 3 Pm 2.56
C (0.6667, 0.3333, 0.9411)  3 Tb 2.47, 3 Pm 2.56
Cl (0.0000, 0.0000, 0.4326)  3 Tb 2.99, 3 Pm 3.12
Cl (0.3333, 0.6667, 0.0992)  3 Tb 2.99, 3 Pm 3.12
Cl (0.6667, 0.3333, 0.7659)  3 Tb 2.99, 3 Pm 3.12

---

[7]
VASP calculation (PBE) on an optimized crystal structure of Pm4Te2CCl.

Computed properties:
Formation energy (no corrections), eV per atom: -1.144
Magnetic moment, μB/atom: 0.00
Total energy, eV per atom: -5.689
Space-group type: P2/m, No. 10

Lattice parameters (Å, degrees): 7.2539 4.0646 7.4669 90.00 107.87 90.00
With the nearest neighbours (Å) after each atom.
Fractional positions:
Pm (0.2042, 0.0000, 0.1956)  2 C 2.67, 1 Cl 2.94
Pm (0.2270, 0.5000, 0.7947)  1 C 2.57
Pm (0.7730, 0.5000, 0.2053)  1 C 2.57
Pm (0.7958, 0.0000, 0.8044)  2 C 2.67, 1 Cl 2.94
Te (0.0000, 0.0000, 0.5000)  6 Pm 3.07-3.08
Te (0.5000, 0.5000, 0.5000)  6 Pm 3.30-3.38
C (0.0000, 0.5000, 0.0000)  6 Pm 2.57-2.67
Cl (0.5000, 0.0000, 0.0000)  6 Pm 2.92-2.94

---

[8]
VASP calculation (PBE) on an optimized crystal structure of Pm3TlCCl.

Computed properties:
Formation energy (no corrections), eV per atom: -0.560
Magnetic moment, μB/atom: 0.00
Total energy, eV per atom: -5.175
Space-group type: P2_1/m, No. 11

Lattice parameters (Å, degrees): 8.3792 3.7518 10.5412 90.00 100.15 90.00
With the nearest neighbours (Å) after each atom.
Fractional positions:
Pm (0.0844, 0.2500, 0.3890)  3 C 2.57-2.66
Pm (0.1199, 0.2500, 0.8689)  1 C 2.49, 2 Cl 2.78
Pm (0.3506, 0.7500, 0.6521)  2 C 2.54, 1 Cl 2.74
Pm (0.6494, 0.2500, 0.3479)  2 C 2.54, 1 Cl 2.74
Pm (0.8801, 0.7500, 0.1311)  1 C 2.49, 2 Cl 2.78
Pm (0.9156, 0.7500, 0.6110)  3 C 2.57-2.66
Tl (0.2983, 0.7500, 0.2262)  5 Pm 3.28-3.53, 1 Cl 3.44
Tl (0.7017, 0.2500, 0.7738)  5 Pm 3.28-3.53, 1 Cl 3.44
C (0.1439, 0.2500, 0.6370)  6 Pm 2.49-2.66
C (0.8561, 0.7500, 0.3630)  6 Pm 2.49-2.66
Cl (0.3683, 0.7500, 0.9144)  3 Pm 2.74-2.78
Cl (0.6317, 0.2500, 0.0856)  3 Pm 2.74-2.78